A relaxed structure of Sr3BiAs, computed with PBE.

It has space group Pm-3m (No. 221), with a = 5.8755 Å, b = 5.8755 Å, c = 5.8755 Å, α = 90.00°, β = 90.00° and γ = 90.00°. The inequivalent atoms are Sr at (0.0000, 0.0000, 0.5000), Bi at (0.5000, 0.5000, 0.5000) and As at (0.0000, 0.0000, 0.0000).

The formation energy comes out at -0.8831 eV per atom. The value obtained for the energy above the most stable polymorph in this dataset is 102 meV/atom. The spin magnetization comes out at 0.0 μB/f.u. For the density of states at the Fermi level, the calculation gives 0.00 states/eV/atom.